## ZrTc2Hg (PBE)

Data for crystalline ZrTc2Hg at its relaxed geometry.

Cell lengths 4.0696, 4.0696, 10.1866 Å; angles 78.48, 78.48, 90.00 degrees
Element x y z (fractional)
Hg 0.0000 0.0000 0.0000
Hg 0.7500 0.2500 0.5000
Zr 0.5000 0.5000 0.0000
Zr 0.2500 0.7500 0.5000
Tc 0.5420 0.1250 0.2500
Tc 0.2080 0.6250 0.2500
Tc 0.3750 0.4580 0.7500
Tc 0.8750 0.7920 0.7500

Calculated values
total energy: -6.801 eV/atom

## Zr2Tc2Hg (PBE)

Data for crystalline Zr2Tc2Hg at its relaxed geometry.

Cell lengths 7.4106, 7.4106, 3.4983 Å; angles 90.00, 90.00, 90.00 degrees
Element x y z (fractional)
Hg 0.0000 0.0000 0.0000
Hg 0.5000 0.5000 0.0000
Zr 0.1641 0.6641 0.5000
Zr 0.6641 0.8359 0.5000
Zr 0.8359 0.3359 0.5000
Zr 0.3359 0.1641 0.5000
Tc 0.3639 0.8639 0.0000
Tc 0.8639 0.6361 0.0000
Tc 0.6361 0.1361 0.0000
Tc 0.1361 0.3639 0.0000

Calculated values
total energy: -7.626 eV/atom

## Zr5Tc4Hg (PBE)

Data for crystalline Zr5Tc4Hg at its relaxed geometry.

Cell lengths 3.3198, 3.3198, 17.0366 Å; angles 90.00, 90.00, 90.00 degrees
Element x y z (fractional)
Zr 0.5000 0.5000 0.1201
Zr 0.5000 0.5000 0.3087
Zr 0.5000 0.5000 0.5000
Zr 0.5000 0.5000 0.6913
Zr 0.5000 0.5000 0.8799
Tc 0.0000 0.0000 0.2082
Tc 0.0000 0.0000 0.4031
Tc 0.0000 0.0000 0.5969
Tc 0.0000 0.0000 0.7918
Hg 0.0000 0.0000 0.0000

Calculated values
total energy: -8.797 eV/atom

## ZrTc2Hg (PBE)

Data for crystalline ZrTc2Hg at its relaxed geometry.

Cell lengths 4.7263, 2.9481, 5.2697 Å; angles 86.20, 90.00, 90.00 degrees
Element x y z (fractional)
Hg 0.5000 0.7500 0.7500
Tc 0.0000 0.9311 0.0352
Tc 0.0000 0.5689 0.4648
Zr 0.5000 0.2500 0.2500

Calculated values
total energy: -7.113 eV/atom

## HgTe (PBE)

Data for crystalline HgTe at its relaxed geometry.

Cell lengths 4.5196, 4.5196, 4.5196 Å; angles 97.17, 97.17, 138.63 degrees
Element x y z (fractional)
Te 0.0000 0.0000 0.0000
Hg 0.7500 0.2500 0.5000

Calculated values
total energy: -1.716 eV/atom
formation energy without anion corrections: 0.006 eV per atom

## Hg3Te (PBE)

Data for crystalline Hg3Te at its relaxed geometry.

Cell lengths 12.4372, 12.4372, 12.4372 Å; angles 15.04, 15.04, 15.04 degrees
Element x y z (fractional)
Hg 0.7547 0.7547 0.7547
Hg 0.5000 0.5000 0.5000
Hg 0.2453 0.2453 0.2453
Te 0.0000 0.0000 0.0000

Calculated values
total energy: -0.912 eV/atom
energy above the lowest structure with this stoichiometry: 110 meV/atom
formation energy without anion corrections: 0.100 eV per atom

## Hg3Te (PBE)

Data for crystalline Hg3Te at its relaxed geometry.

Cell lengths 4.6079, 4.6079, 8.3390 Å; angles 91.33, 91.33, 40.70 degrees
Element x y z (fractional)
Hg 0.5000 0.5000 0.5000
Hg 0.7460 0.7460 0.7474
Hg 0.2540 0.2540 0.2526
Te 0.0000 0.0000 0.0000

Calculated values
total energy: -1.002 eV/atom
energy above the lowest structure with this stoichiometry: 20 meV/atom
formation energy without anion corrections: 0.009 eV per atom

## HgTe (PBE)

Data for crystalline HgTe at its relaxed geometry.

Cell lengths 4.6865, 4.6865, 10.3995 Å; angles 90.00, 90.00, 120.00 degrees
Element x y z (fractional)
Te 0.4780 0.0000 0.5000
Te 0.5220 0.5220 0.8333
Te 0.0000 0.4780 0.1667
Hg 0.3340 0.0000 0.0000
Hg 0.6660 0.6660 0.3333
Hg 0.0000 0.3340 0.6667

Calculated values
total energy: -1.828 eV/atom
formation energy without anion corrections: -0.106 eV per atom